Entry 1:
DFT (GGA-PBE) results for a relaxed Re5Hg crystal.

The calculation puts the spin magnetization at 0.00 μB/f.u. As for the uncorrected energy: -58.3 eV for the cell shown. Its polymorph energy (0 for the lowest one) is 8.23 kcal/mol of atoms. For the calculated formation energy, the calculation gives 4.270 eV per formula unit.

Cell: 5.0938 5.0938 4.6655 Å, 90.00 90.00 120.00°
Space group P6/mmm (No. 191)
Unique sites:
1 Re 0.0000 0.5000 0.0000 [3 per cell]
2 Re 0.3333 0.6667 0.5000 [2 per cell]
3 Hg 0.0000 0.0000 0.5000 [1 per cell]

***

Entry 2:
DFT (GGA-PBE) results for a relaxed Zn6AgPt crystal.

The calculation puts the spin magnetization at 0.00 μB/f.u. As for the uncorrected energy: -35.9 eV for the cell shown. Its polymorph energy (0 for the lowest one) is 0.00 kcal/mol of atoms. For the calculated formation energy, the calculation gives -1.407 eV per formula unit.

Cell: 4.4705 5.5609 9.6125 Å, 90.00 90.00 90.00°
Space group Amm2 (No. 38)
Unique sites:
1 Zn 0.0000 0.0000 0.0000 [2 per cell]
2 Zn 0.0000 0.2487 0.7512 [4 per cell]
3 Zn 0.5000 0.0000 0.6681 [2 per cell]
4 Zn 0.5000 0.2500 0.4180 [4 per cell]
5 Ag 0.5000 0.0000 0.1680 [2 per cell]
6 Pt 0.0000 0.0000 0.5009 [2 per cell]

***

Entry 3:
DFT (GGA-PBE) results for a relaxed Ce4Bi2Br5 crystal.

The calculation puts the spin magnetization at 7.17 μB/f.u. As for the uncorrected energy: -102.7 eV for the cell shown. For the uncorrected formation energy, the calculation gives -11.48 eV/f.u.

Cell: 20.3955 3.8283 9.9052 Å, 90.00 92.80 90.00°
Space group C2/m (No. 12)
Unique sites:
1 Ce 0.0399 0.0000 0.2808 [4 per cell]
2 Ce 0.1311 0.5000 0.7053 [4 per cell]
3 Bi 0.0740 0.0000 0.9696 [4 per cell]
4 Br 0.0000 0.5000 0.5000 [2 per cell]
5 Br 0.1606 0.0000 0.4706 [4 per cell]
6 Br 0.2297 0.0000 0.8173 [4 per cell]

***

Entry 4:
DFT (GGA-PBE) results for a relaxed Ac3SnTe6 crystal.

The calculation puts the spin magnetization at 0.00 μB/f.u. As for the uncorrected energy: -189.0 eV for the cell shown. For the uncorrected formation energy, the calculation gives -12.07 eV/f.u.

Cell: 12.8765 16.0477 7.9476 Å, 90.00 90.00 90.00°
Space group Cmc2_1 (No. 36)
Unique sites:
1 Ac 0.0000 0.0993 0.0000 [4 per cell]
2 Ac 0.1839 0.4020 0.9095 [8 per cell]
3 Sn 0.0000 0.3017 0.3663 [4 per cell]
4 Te 0.0000 0.2783 0.7442 [4 per cell]
5 Te 0.0000 0.4696 0.2063 [4 per cell]
6 Te 0.1611 0.0304 0.7053 [8 per cell]
7 Te 0.1747 0.2343 0.1789 [8 per cell]